# 1
The following is a PBE calculation of a relaxed BaSrCu4 crystal, from Alexandria via LeMat-Bulk.

Values from the calculation:
ρ   5.55 g/cm3
Total magnetic moment   0.0000 μB/atom
Fermi-level density of states   0.3583 states/eV/atom
Total DFT energy (no corrections)   -3.377 eV/atom
E above lowest polymorph   0.0 meV per atom

abc: 4.356 7.560 8.702
angles: 90.00 90.00 90.00
Space group Immm (No. 71)
One atom of each set of equivalent atoms:
Ba 0.000 0.000 0.000 (multiplicity 2)
Sr 0.000 0.000 0.500 (multiplicity 2)
Cu 0.000 0.333 0.246 (multiplicity 8)

# 2
The following is a PBE calculation of a relaxed BaSr3Cu crystal, from Alexandria via LeMat-Bulk.

Values from the calculation:
ρ   3.23 g/cm3
Total magnetic moment   0.0000 μB/atom
Fermi-level density of states   0.8117 states/eV/atom
Total DFT energy (no corrections)   -2.229 eV/atom
E above lowest polymorph   0.0 meV per atom

abc: 6.201 6.201 6.201
angles: 90.00 90.00 90.00
Space group Pm-3m (No. 221)
One atom of each set of equivalent atoms:
Ba 0.000 0.000 0.000 (multiplicity 1)
Sr 0.000 0.500 0.500 (multiplicity 3)
Cu 0.500 0.500 0.500 (multiplicity 1)

# 3
The following is a PBE calculation of a relaxed BaSr3Cu crystal, from Alexandria via LeMat-Bulk.

Values from the calculation:
ρ   2.50 g/cm3
Total magnetic moment   0.7509 μB/atom
Fermi-level density of states   1.1096 states/eV/atom
Total DFT energy (no corrections)   -1.057 eV/atom
E above lowest polymorph   1171.8 meV per atom

abc: 6.753 6.753 6.753
angles: 90.00 90.00 90.00
Space group Pm-3m (No. 221)
One atom of each set of equivalent atoms:
Ba 0.000 0.000 0.000 (multiplicity 1)
Sr 0.000 0.000 0.500 (multiplicity 3)
Cu 0.500 0.500 0.500 (multiplicity 1)

# 4
The following is a PBE calculation of a relaxed BaSrCu3 crystal, from Alexandria via LeMat-Bulk.

Values from the calculation:
ρ   3.89 g/cm3
Total magnetic moment   0.0000 μB/atom
Fermi-level density of states   0.4177 states/eV/atom
Total DFT energy (no corrections)   -2.477 eV/atom
E above lowest polymorph   171.7 meV per atom

abc: 5.620 5.620 5.620
angles: 90.00 90.00 90.00
Space group Pm-3m (No. 221)
One atom of each set of equivalent atoms:
Ba 0.000 0.000 0.000 (multiplicity 1)
Sr 0.500 0.500 0.500 (multiplicity 1)
Cu 0.000 0.000 0.500 (multiplicity 3)

# 5
The following is a PBE calculation of a relaxed BaSrCu3 crystal, from Alexandria via LeMat-Bulk.

Values from the calculation:
ρ   4.12 g/cm3
Total magnetic moment   0.0000 μB/atom
Fermi-level density of states   0.4155 states/eV/atom
Total DFT energy (no corrections)   -2.649 eV/atom
E above lowest polymorph   0.0 meV per atom

abc: 5.512 5.512 5.512
angles: 90.00 90.00 90.00
Space group Pm-3m (No. 221)
One atom of each set of equivalent atoms:
Ba 0.000 0.000 0.000 (multiplicity 1)
Sr 0.500 0.500 0.500 (multiplicity 1)
Cu 0.000 0.500 0.500 (multiplicity 3)

# 6
The following is a PBE calculation of a relaxed Ba2SrTlCu crystal, from Alexandria via LeMat-Bulk.

Values from the calculation:
ρ   4.63 g/cm3
Total magnetic moment   0.0000 μB/atom
Fermi-level density of states   1.4583 states/eV/atom
Total DFT energy (no corrections)   -2.396 eV/atom
E above lowest polymorph   25.2 meV per atom

abc: 6.150 6.150 5.973
angles: 90.00 90.00 90.00
Space group P4/mmm (No. 123)
One atom of each set of equivalent atoms:
Ba 0.000 0.500 0.000 (multiplicity 2)
Sr 0.000 0.000 0.500 (multiplicity 1)
Tl 0.500 0.500 0.500 (multiplicity 1)
Cu 0.000 0.000 0.000 (multiplicity 1)